Entry from Alexandria via LeMat-Bulk: a relaxed KInSeF2 crystal (PBE-GGA).

```
KInSeF2
1.0
4.5824 0.0000 0.0000
0.0000 4.5824 0.0000
0.0000 0.0000 5.3188
K Se F In
1 1 2 1
Cartesian
2.2912 2.2912 2.6594
0.0000 0.0000 2.6594
2.2912 0.0000 0.0000
0.0000 2.2912 0.0000
0.0000 0.0000 0.0000
```

Output
The calculated volume comes out at 22.34 Å³/atom. The total energy is -0.1470 hartree per atom. The space-group type is P4/mmm. Its uncorrected formation energy is -1.79 eV per atom. The density of states at the Fermi level comes out at 0.520 states/eV/atom.



Entry from Alexandria via LeMat-Bulk: a relaxed ZrMnSb2 crystal (PBE-GGA).

```
ZrMnSb2
1.0
-0.6694 -4.6258 1.7155
-1.7140 -3.5565 -3.0337
3.0182 -3.6688 -1.4899
Sb Zr Mn
2 1 1
Cartesian
0.0000 0.0000 0.0000
0.1587 -2.9628 -0.7020
0.4761 -8.8883 -2.1061
0.3174 -5.9255 -1.4041
```

Output
The calculated volume comes out at 21.82 Å³/atom. The total energy is -0.2311 hartree per atom. The space-group type is F-43m. Its uncorrected formation energy is 0.20 eV per atom. The density of states at the Fermi level comes out at 1.374 states/eV/atom.



Entry from Alexandria via LeMat-Bulk: a relaxed NdZnCo crystal (PBE-GGA).

```
NdZnCo
1.0
-1.4328 -2.1220 2.1923
0.2706 -2.5009 -2.2437
5.1209 1.1496 1.8682
Nd Co Zn
1 1 1
Cartesian
3.4354 -3.3392 1.6043
2.3063 -0.5902 0.9360
0.8139 -2.6684 0.5404
```

Output
The calculated volume comes out at 19.07 Å³/atom. Its formation energy from the elements is -0.009 eV per atom. The total energy is -0.1614 hartree per atom. The space-group type is I4mm. The density of states at the Fermi level comes out at 0.808 states/eV/atom.



- The lowest total energy belongs to which entry?
  ZrMnSb2



- Among the records above, which one has the highest calculated volume?
  KInSeF2